1.
The following is a PBE calculation of a relaxed structure of K2Ag2I, from Alexandria via LeMat-Bulk.

Output
Space-group type = I4/mmm
Relative energy among the computed polymorphs = 19 meV/atom
Uncorrected formation energy = -22 kJ per mole of atoms
M_tot = 0.00 μB per atom

Unit cell a=6.573 b=6.573 c=6.440 alpha=59.31 beta=59.31 gamma=90.00
Atoms (fractional coordinates):
Ag1 0.350 0.350 0.301
I1 0.000 0.000 0.000
K1 0.750 0.250 0.500
Ag2 0.650 0.650 0.699
K2 0.250 0.750 0.500

***

2.
The following is a PBE calculation of a relaxed structure of PrTmGe2Rh5, from Alexandria via LeMat-Bulk.

Output
Formation energy = -663 meV per atom
Space-group type = P4/mmm
M_tot = 0.00 μB per atom

Unit cell a=4.220 b=4.220 c=8.980 alpha=90.00 beta=90.00 gamma=90.00
Atoms (fractional coordinates):
Rh1 0.500 0.000 0.736
Ge1 0.500 0.500 0.138
Rh2 0.000 0.500 0.264
Rh3 0.500 0.000 0.264
Rh4 0.500 0.500 0.500
Pr1 0.000 0.000 0.500
Ge2 0.500 0.500 0.862
Rh5 0.000 0.500 0.736
Tm1 0.000 0.000 0.000

***

What did the second record say?
The following is a PBE calculation of a relaxed structure of PrTmGe2Rh5, from Alexandria via LeMat-Bulk.

Output
Formation energy = -663 meV per atom
Space-group type = P4/mmm
M_tot = 0.00 μB per atom

Unit cell a=4.220 b=4.220 c=8.980 alpha=90.00 beta=90.00 gamma=90.00
Atoms (fractional coordinates):
Rh1 0.500 0.000 0.736
Ge1 0.500 0.500 0.138
Rh2 0.000 0.500 0.264
Rh3 0.500 0.000 0.264
Rh4 0.500 0.500 0.500
Pr1 0.000 0.000 0.500
Ge2 0.500 0.500 0.862
Rh5 0.000 0.500 0.736
Tm1 0.000 0.000 0.000